[1]
First-principles (GGA-PBE) data for a relaxed structure of ScSiRu, as listed in Alexandria.

abc: 4.239 4.239 4.239
angles: 60.00 60.00 60.00
Fractional coordinates of all 3 atoms:
Sc  0.000  0.000  0.000
Si  0.500  0.500  0.500
Ru  0.250  0.250  0.250

Properties
**Volume**: 53.9 Å³ per cell
**DOS(E_F)**: 2.7 states/eV per cell
**Calculated density**: 5.4 g cm⁻³
**Energy relative to the elements, uncorrected**: -0.424 eV/atom

=====

[2]
First-principles (GGA-PBE) data for a relaxed structure of PrYNiRh, as listed in Alexandria.

abc: 4.936 4.936 4.936
angles: 60.00 60.00 60.00
Fractional coordinates of all 4 atoms:
Pr  0.000  0.000  0.000
Y  0.500  0.500  0.500
Ni  0.750  0.750  0.750
Rh  0.250  0.250  0.250

Properties
**Excess energy over the best structure of this formula in the dataset**: 0.0664 eV per atom
**Volume**: 85.0 Å³ per cell
**Formation energy from the elements**: -0.485 eV per atom
**DOS(E_F)**: 3.1 states/eV per cell
**Calculated density**: 7.6 g cm⁻³

=====

[3]
First-principles (GGA-PBE) data for a relaxed structure of Zr2ReTc, as listed in Alexandria.

abc: 3.091 4.398 5.473
angles: 90.00 90.00 90.00
Fractional coordinates of all 4 atoms:
Zr  0.000  0.000  0.000
Zr  0.500  0.500  0.321
Re  0.000  0.000  0.515
Tc  0.500  0.500  0.799

Properties
**Volume**: 74.4 Å³ per cell
**Formation energy from the elements**: 0.139 eV per atom
**DOS(E_F)**: 4.5 states/eV per cell
**Calculated density**: 10.4 g cm⁻³

=====

[4]
First-principles (GGA-PBE) data for a relaxed structure of NdTm3Ag2, as listed in Alexandria.

abc: 3.593 3.593 12.264
angles: 90.00 90.00 90.00
Fractional coordinates of all 6 atoms:
Nd  0.000  0.000  0.000
Tm  0.500  0.500  0.209
Tm  0.500  0.500  0.500
Tm  0.500  0.500  0.791
Ag  0.000  0.000  0.352
Ag  0.000  0.000  0.648

Properties
**Volume**: 158.3 Å³ per cell
**Formation energy from the elements**: -0.209 eV per atom
**DOS(E_F)**: 6.6 states/eV per cell
**Calculated density**: 9.1 g cm⁻³

=====

[5]
First-principles (GGA-PBE) data for a relaxed structure of GaGeRh, as listed in Alexandria.

abc: 4.328 4.328 2.949
angles: 90.00 90.00 120.00
Fractional coordinates of all 3 atoms:
Ga  0.000  0.000  0.000
Ge  0.667  0.333  0.500
Rh  0.333  0.667  0.500

Properties
**Excess energy over the best structure of this formula in the dataset**: 0.2576 eV per atom
**Volume**: 47.8 Å³ per cell
**Formation energy from the elements**: -0.145 eV per atom
**DOS(E_F)**: 1.8 states/eV per cell
**Calculated density**: 8.5 g cm⁻³

=====

[6]
First-principles (GGA-PBE) data for a relaxed structure of SiBSeS, as listed in Alexandria.

abc: 3.312 4.207 7.300
angles: 74.32 89.61 66.90
Fractional coordinates of all 4 atoms:
Si  0.000  0.000  0.000
B  0.656  0.689  0.002
Se  0.732  0.542  0.751
S  0.856  0.280  0.218

Properties
**Excess energy over the best structure of this formula in the dataset**: 0.0529 eV per atom
**Volume**: 89.5 Å³ per cell
**DOS(E_F)**: 0.8 states/eV per cell
**Calculated density**: 2.8 g cm⁻³
**Energy relative to the elements, uncorrected**: -0.197 eV/atom

=====

Which of these has the lowest calculated density?
SiBSeS

=====

Which of these has the lowest DOS(E_F)?
SiBSeS

=====

Copy entry 5 word for word.
First-principles (GGA-PBE) data for a relaxed structure of GaGeRh, as listed in Alexandria.

abc: 4.328 4.328 2.949
angles: 90.00 90.00 120.00
Fractional coordinates of all 3 atoms:
Ga  0.000  0.000  0.000
Ge  0.667  0.333  0.500
Rh  0.333  0.667  0.500

Properties
**Excess energy over the best structure of this formula in the dataset**: 0.2576 eV per atom
**Volume**: 47.8 Å³ per cell
**Formation energy from the elements**: -0.145 eV per atom
**DOS(E_F)**: 1.8 states/eV per cell
**Calculated density**: 8.5 g cm⁻³